1.
A geometry-optimized MgTl2Cr structure, computed with PBE.

a = 6.7363 Å, b = 6.7363 Å, c = 6.7363 Å
α = 152.13°, β = 138.36°, γ = 50.85°
Last column: nearest neighbours and their distance in Å.
Sites, in units of the cell vectors:
Tl (0.9890, 0.9890, 0.0000)  4 Cr 2.90
Tl (0.7103, 0.2103, 0.5000)  2 Cr 3.01, 4 Mg 3.09, 2 Tl 3.24
Mg (0.2991, 0.7991, 0.5000)  2 Cr 2.95, 4 Tl 3.09, 2 Mg 3.24
Cr (0.5017, 0.5017, 0.0000)  6 Tl 2.90-3.01, 2 Mg 2.95

Values from the calculation:
Its space group is Imm2, No. 44. The raw total energy is -3.6475 eV/atom. Its formation energy from the elements is 0.340 eV per atom.

***

2.
A geometry-optimized BiAsIr2Os structure, computed with PBE.

a = 4.8922 Å, b = 4.6103 Å, c = 4.8922 Å
α = 90.00°, β = 90.00°, γ = 90.00°
Last column: nearest neighbours and their distance in Å.
Sites, in units of the cell vectors:
Ir (0.0000, 0.0000, 0.5000)  2 Os 2.45
Ir (0.5000, 0.0000, 0.0000)  2 Os 2.45
As (0.0000, 0.5000, 0.0000)  2 Os 2.31
Os (0.0000, 0.0000, 0.0000)  2 As 2.31, 4 Ir 2.45
Bi (0.5000, 0.5000, 0.5000)  8 Ir 3.36, 4 As 3.46

Values from the calculation:
Its space group is P4/mmm, No. 123. The raw total energy is -6.3841 eV/atom. Its formation energy from the elements is 1.112 eV per atom.

***

3.
A geometry-optimized KMnInCl4 structure, computed with PBE.

a = 7.3719 Å, b = 7.2915 Å, c = 8.7061 Å
α = 90.00°, β = 108.05°, γ = 90.00°
Last column: nearest neighbours and their distance in Å.
Sites, in units of the cell vectors:
Cl (0.4263, 0.7500, 0.5753)  1 Mn 2.35
Cl (0.0245, 0.9986, 0.2491)  1 Mn 2.36
Cl (0.5737, 0.2500, 0.4247)  1 Mn 2.35
Cl (0.9755, 0.0014, 0.7509)  1 Mn 2.36
Cl (0.0245, 0.5014, 0.2491)  1 Mn 2.36
Cl (0.5706, 0.2500, 0.8694)  1 Mn 2.33
Cl (0.9755, 0.4986, 0.7509)  1 Mn 2.36
Cl (0.4294, 0.7500, 0.1306)  1 Mn 2.33
Mn (0.7589, 0.2500, 0.6981)  4 Cl 2.33-2.36
Mn (0.2411, 0.7500, 0.3019)  4 Cl 2.33-2.36
K (0.7863, 0.7500, 0.4403)  6 Cl 3.13-3.31
K (0.2137, 0.2500, 0.5597)  6 Cl 3.13-3.31
In (0.7343, 0.7500, 0.9245)  6 Cl 3.18-3.48
In (0.2657, 0.2500, 0.0755)  6 Cl 3.18-3.48

Values from the calculation:
Its raw formation energy is -1.2685 eV/atom. Its space group is P2_1/m, No. 11. The raw total energy is -4.1816 eV/atom.

***

4.
A geometry-optimized InTe2HN structure, computed with PBE.

a = 6.0423 Å, b = 6.0423 Å, c = 4.0124 Å
α = 90.00°, β = 90.00°, γ = 90.00°
Last column: nearest neighbours and their distance in Å.
Sites, in units of the cell vectors:
Te (0.5000, 0.0000, 0.0000)  2 In 3.02
Te (0.0000, 0.5000, 0.0000)  2 In 3.02
H (0.5000, 0.5000, 0.5000)  8 Te 3.63, 2 H 4.01
N (0.0000, 0.0000, 0.5000)  2 In 2.01
In (0.0000, 0.0000, 0.0000)  2 N 2.01

Values from the calculation:
Its polymorph energy (0 for the lowest one) is 23.8 kJ/mol of atoms. Its space group is P4/mmm, No. 123. The raw total energy is -2.7512 eV/atom.

***

5.
A geometry-optimized LaScSeO2 structure, computed with PBE.

a = 4.1983 Å, b = 9.4442 Å, c = 4.1983 Å
α = 90.00°, β = 90.00°, γ = 90.00°
Last column: nearest neighbours and their distance in Å.
Sites, in units of the cell vectors:
Sc (0.0000, 0.5000, 0.0000)  4 Se 2.97
O (0.0000, 0.0000, 0.5000)  2 La 2.10
O (0.5000, 0.0000, 0.0000)  2 La 2.10
La (0.0000, 0.0000, 0.0000)  4 O 2.10
Se (0.5000, 0.5000, 0.5000)  4 Sc 2.97

Values from the calculation:
Its raw formation energy is -1.3479 eV/atom. Its polymorph energy (0 for the lowest one) is 158.0 kJ/mol of atoms. Its space group is P4/mmm, No. 123. The raw total energy is -6.2799 eV/atom.

***

6.
A geometry-optimized La2YZn structure, computed with PBE.

a = 6.5025 Å, b = 6.5025 Å, c = 3.6163 Å
α = 77.45°, β = 77.45°, γ = 120.16°
Last column: nearest neighbours and their distance in Å.
Sites, in units of the cell vectors:
La (0.5000, 0.5000, 0.0000)  4 La 3.24-3.62, 2 Zn 3.36, 2 Y 3.36
La (0.0000, 0.0000, 0.0000)  4 La 3.24-3.62, 2 Y 3.36, 2 Zn 3.36
Zn (0.0000, 0.5000, 0.5000)  2 Y 3.24, 4 La 3.36, 2 Zn 3.62
Y (0.5000, 0.0000, 0.5000)  2 Zn 3.24, 4 La 3.36, 2 Y 3.62

Values from the calculation:
Its polymorph energy (0 for the lowest one) is 21.3 kJ/mol of atoms. Its space group is C2/m, No. 12. The raw total energy is -4.3387 eV/atom. Its formation energy from the elements is 0.060 eV per atom.

***

7.
A geometry-optimized BeCuCl2 structure, computed with PBE.

a = 3.0791 Å, b = 4.8782 Å, c = 5.9613 Å
α = 76.10°, β = 90.00°, γ = 90.00°
Last column: nearest neighbours and their distance in Å.
Sites, in units of the cell vectors:
Cl (0.5000, 0.2242, 0.4095)  1 Be 2.04
Cl (0.0000, 0.8707, 0.8950)  2 Be 2.06
Be (0.5000, 0.8633, 0.6679)  3 Cl 2.04-2.06
Cu (0.0000, 0.5418, 0.5276)  2 Cl 2.41, 2 Be 2.48

Values from the calculation:
Its raw formation energy is -0.4607 eV/atom. Its polymorph energy (0 for the lowest one) is 0.0 kJ/mol of atoms. Its space group is Pm, No. 6. The raw total energy is -3.3396 eV/atom.

***

8.
A geometry-optimized UTiNbC3 structure, computed with PBE.

a = 3.2294 Å, b = 5.5922 Å, c = 8.4174 Å
α = 102.49°, β = 90.00°, γ = 90.00°
Last column: nearest neighbours and their distance in Å.
Sites, in units of the cell vectors:
C (0.2500, 0.4479, 0.8394)  1 Nb 2.16, 3 Ti 2.25-2.35, 2 U 2.41
C (0.7500, 0.2636, 0.5051)  3 Nb 2.19-2.28, 1 U 2.42
C (0.7500, 0.0444, 0.1529)  3 Ti 2.16-2.25, 1 Nb 2.18
C (0.2500, 0.9556, 0.8471)  3 Ti 2.16-2.25, 1 Nb 2.18
C (0.2500, 0.7364, 0.4949)  3 Nb 2.19-2.28, 1 U 2.42
C (0.7500, 0.5521, 0.1606)  1 Nb 2.16, 3 Ti 2.25-2.35, 2 U 2.41
U (0.2500, 0.3502, 0.2993)  7 C 2.41-2.49
U (0.7500, 0.6498, 0.7007)  7 C 2.41-2.49
Nb (0.7500, 0.8682, 0.3600)  5 C 2.16-2.28
Nb (0.2500, 0.1318, 0.6400)  5 C 2.16-2.28
Ti (0.2500, 0.7748, 0.0499)  6 C 2.16-2.35
Ti (0.7500, 0.2252, 0.9501)  6 C 2.16-2.35

Values from the calculation:
Its space group is P2_1/m, No. 11. The raw total energy is -9.8902 eV/atom. Its formation energy from the elements is -0.403 eV per atom.

***

9.
A geometry-optimized Pm2Pr2Er2Mg structure, computed with PBE.

a = 5.1935 Å, b = 3.6705 Å, c = 17.0166 Å
α = 96.20°, β = 90.00°, γ = 135.03°
Last column: nearest neighbours and their distance in Å.
Sites, in units of the cell vectors:
Pr (0.7115, 0.4231, 0.9230)  4 Er 3.63-3.64, 8 Pr 3.66-3.67
Pr (0.2885, 0.5769, 0.0770)  4 Er 3.63-3.64, 8 Pr 3.66-3.67
Er (0.1360, 0.2719, 0.7717)  4 Pm 3.55, 4 Pr 3.63-3.64, 4 Er 3.67
Er (0.8640, 0.7281, 0.2283)  4 Pm 3.55, 4 Pr 3.63-3.64, 4 Er 3.67
Pm (0.5639, 0.1278, 0.6273)  4 Mg 3.36-3.37, 4 Er 3.55, 4 Pm 3.67
Pm (0.4361, 0.8722, 0.3727)  4 Mg 3.36-3.37, 4 Er 3.55, 4 Pm 3.67
Mg (0.0000, 0.0000, 0.5000)  8 Pm 3.36-3.37, 4 Mg 3.67

Values from the calculation:
Its space group is I4/mmm, No. 139. The raw total energy is -4.2622 eV/atom. Its formation energy from the elements is -0.008 eV per atom.

***

10.
A geometry-optimized RbAcCd2 structure, computed with PBE.

a = 4.1301 Å, b = 4.1301 Å, c = 11.2266 Å
α = 79.40°, β = 79.40°, γ = 60.00°
Last column: nearest neighbours and their distance in Å.
Sites, in units of the cell vectors:
Ac (0.0000, 0.0000, 0.0000)  6 Cd 3.46
Cd (0.7429, 0.7429, 0.7713)  3 Ac 3.46, 3 Rb 3.81
Cd (0.2571, 0.2571, 0.2287)  3 Ac 3.46, 3 Rb 3.81
Rb (0.5000, 0.5000, 0.5000)  6 Cd 3.81, 6 Rb 4.13

Values from the calculation:
Its polymorph energy (0 for the lowest one) is 13.3 kJ/mol of atoms. Its space group is R-3m, No. 166. The raw total energy is -1.6873 eV/atom. Its formation energy from the elements is 0.039 eV per atom.

***

| no. | density (Mg/m³) |
| --- | --- |
| 1 | 8.5 |
| 2 | 12.9 |
| 3 | 2.6 |
| 4 | 4.4 |
| 5 | 2.9 |
| 6 | 6.0 |
| 7 | 2.7 |
| 8 | 9.3 |
| 9 | 6.8 |
| 10 | 5.5 |